Density functional theory data (GGA-PBE) for crystalline La12Dy3Th at its relaxed geometry.

Its formation energy is 0.02 eV/atom.

It has space group P4/mmm (No. 123), with a = 5.210 Å, b = 5.210 Å, c = 20.828 Å, α = 90.00°, β = 90.00° and γ = 90.00°. The distinct sites, in fractional coordinates, are La at (0.000, 0.000, 0.000), La at (0.000, 0.000, 0.247), La at (0.000, 0.000, 0.500), La at (0.000, 0.500, 0.125), La at (0.000, 0.500, 0.378), Dy at (0.500, 0.500, 0.000), Dy at (0.500, 0.500, 0.249) and Th at (0.500, 0.500, 0.500).



Density functional theory data (GGA-PBE) for crystalline Re2HgGe2 at its relaxed geometry.

The energy relative to the lowest polymorph listed for this composition is 180 meV/atom. Its formation energy is 0.55 eV/atom.

It has space group I4/mmm (No. 139), with a = 3.661 Å, b = 3.661 Å, c = 12.778 Å, α = 90.00°, β = 90.00° and γ = 90.00°. The distinct sites, in fractional coordinates, are Re at (0.000, 0.000, 0.107), Hg at (0.000, 0.000, 0.500) and Ge at (0.000, 0.500, 0.250).



Density functional theory data (GGA-PBE) for crystalline Th4As3P at its relaxed geometry.

The energy relative to the lowest polymorph listed for this composition is 0 meV/atom. Its formation energy is -1.44 eV/atom.

It has space group P2/c (No. 13), with a = 7.337 Å, b = 8.420 Å, c = 7.325 Å, α = 90.00°, β = 109.38° and γ = 90.00°. The distinct sites, in fractional coordinates, are Th at (0.241, 0.120, 0.000), Th at (0.246, 0.370, 0.495), As at (0.000, 0.375, 0.750), As at (0.500, 0.125, 0.750), As at (0.500, 0.375, 0.250) and P at (0.000, 0.125, 0.250).



Density functional theory data (GGA-PBE) for crystalline Tb7Nd6Y16 at its relaxed geometry.

Its formation energy is 0.24 eV/atom.

It has space group Fm-3m (No. 225), with a = 15.918 Å, b = 15.918 Å, c = 15.918 Å, α = 90.00°, β = 90.00° and γ = 90.00°. The distinct sites, in fractional coordinates, are Tb at (0.000, 0.000, 0.000), Tb at (0.000, 0.250, 0.250), Nd at (0.000, 0.000, 0.269), Y at (0.126, 0.126, 0.126) and Y at (0.151, 0.151, 0.349).



Density functional theory data (GGA-PBE) for crystalline CsCr5S8 at its relaxed geometry.

The energy relative to the lowest polymorph listed for this composition is 40 meV/atom.

It has space group C2/m (No. 12), with a = 18.355 Å, b = 3.510 Å, c = 8.892 Å, α = 90.00°, β = 102.69° and γ = 90.00°. The distinct sites, in fractional coordinates, are Cs at (0.000, 0.000, 0.000), Cr at (0.000, 0.000, 0.500), Cr at (0.162, 0.500, 0.488), Cr at (0.205, 0.500, 0.835), S at (0.074, 0.500, 0.654), S at (0.094, 0.000, 0.352), S at (0.178, 0.000, 0.990) and S at (0.239, 0.000, 0.657).



Density functional theory data (GGA-PBE) for crystalline TiAl3V at its relaxed geometry.

The energy relative to the lowest polymorph listed for this composition is 0 meV/atom. Its formation energy is -0.20 eV/atom.

It has space group Cmcm (No. 63), with a = 4.331 Å, b = 13.231 Å, c = 5.329 Å, α = 90.00°, β = 90.00° and γ = 90.00°. The distinct sites, in fractional coordinates, are Ti at (0.000, 0.004, 0.250), Al at (0.000, 0.204, 0.250), Al at (0.000, 0.392, 0.004) and V at (0.000, 0.191, 0.750).



Density functional theory data (GGA-PBE) for crystalline Sm6Sn5 at its relaxed geometry.

Its formation energy is -0.59 eV/atom.

It has space group Immm (No. 71), with a = 5.622 Å, b = 6.951 Å, c = 16.964 Å, α = 90.00°, β = 90.00° and γ = 90.00°. The distinct sites, in fractional coordinates, are Sm at (0.000, 0.241, 0.000), Sm at (0.000, 0.254, 0.331), Sn at (0.000, 0.000, 0.169), Sn at (0.000, 0.500, 0.156) and Sn at (0.000, 0.500, 0.500).



Density functional theory data (GGA-PBE) for crystalline NbHgGe at its relaxed geometry.

The energy relative to the lowest polymorph listed for this composition is 34 meV/atom. Its formation energy is -0.06 eV/atom.

It has space group Pmmn (No. 59, origin choice 2), with a = 2.856 Å, b = 4.442 Å, c = 9.679 Å, α = 90.00°, β = 90.00° and γ = 90.00°. The distinct sites, in fractional coordinates, are Nb at (0.250, 0.250, 0.114), Hg at (0.250, 0.750, 0.594) and Ge at (0.250, 0.250, 0.834).



Density functional theory data (GGA-PBE) for crystalline Mo2PCl at its relaxed geometry.

The energy relative to the lowest polymorph listed for this composition is 36 meV/atom.

It has space group R3m (No. 160, hexagonal axes), with a = 3.0095 Å, b = 3.0095 Å, c = 27.7856 Å, α = 90.00°, β = 90.00° and γ = 120.00°. The distinct sites, in fractional coordinates, are Mo at (0.0000, 0.0000, 0.0000), Mo at (0.0000, 0.0000, 0.2525), P at (0.0000, 0.0000, 0.7296) and Cl at (0.0000, 0.0000, 0.5224).



Density functional theory data (GGA-PBE) for crystalline La2SbPd2Pt5 at its relaxed geometry.

It has space group P4/mbm (No. 127), with a = 9.719 Å, b = 9.719 Å, c = 4.134 Å, α = 90.00°, β = 90.00° and γ = 90.00°. The distinct sites, in fractional coordinates, are La at (0.172, 0.328, 0.000), Sb at (0.000, 0.000, 0.000), Pd at (0.128, 0.628, 0.000), Pt at (0.000, 0.500, 0.500) and Pt at (0.059, 0.795, 0.500).



Density functional theory data (GGA-PBE) for crystalline LaTiSbTe2 at its relaxed geometry.

The energy relative to the lowest polymorph listed for this composition is 0 meV/atom.

It has space group P4/mmm (No. 123), with a = 5.356 Å, b = 5.356 Å, c = 5.317 Å, α = 90.00°, β = 90.00° and γ = 90.00°. The distinct sites, in fractional coordinates, are La at (0.000, 0.000, 0.000), Ti at (0.500, 0.500, 0.500), Sb at (0.500, 0.500, 0.000) and Te at (0.000, 0.500, 0.500).



Density functional theory data (GGA-PBE) for crystalline KInH at its relaxed geometry.

The energy relative to the lowest polymorph listed for this composition is 19 meV/atom.

It has space group Fmm2 (No. 42), with a = 5.390 Å, b = 8.952 Å, c = 12.334 Å, α = 90.00°, β = 90.00° and γ = 90.00°. The distinct sites, in fractional coordinates, are K at (0.000, 0.000, 0.000), K at (0.000, 0.000, 0.319), In at (0.000, 0.168, 0.662) and H at (0.000, 0.167, 0.817).



Density functional theory data (GGA-PBE) for crystalline KBiSb2Te at its relaxed geometry.

The energy relative to the lowest polymorph listed for this composition is 859 meV/atom.

It has space group P4/mmm (No. 123), with a = 5.799 Å, b = 5.799 Å, c = 5.867 Å, α = 90.00°, β = 90.00° and γ = 90.00°. The distinct sites, in fractional coordinates, are K at (0.000, 0.000, 0.000), Bi at (0.500, 0.500, 0.500), Sb at (0.000, 0.500, 0.000) and Te at (0.000, 0.000, 0.500).



Density functional theory data (GGA-PBE) for crystalline PmPr2YTl2 at its relaxed geometry.

Its formation energy is -0.28 eV/atom.

It has space group Pmc2_1 (No. 26), with a = 5.231 Å, b = 10.302 Å, c = 6.957 Å, α = 90.00°, β = 90.00° and γ = 90.00°. The distinct sites, in fractional coordinates, are Pm at (0.000, 0.043, 0.000), Pr at (0.000, 0.316, 0.367), Pr at (0.500, 0.454, 0.095), Y at (0.500, 0.185, 0.719), Tl at (0.000, 0.355, 0.835) and Tl at (0.500, 0.126, 0.259).



Density functional theory data (GGA-PBE) for crystalline Bi2B2Pt at its relaxed geometry.

The energy relative to the lowest polymorph listed for this composition is 159 meV/atom. Its formation energy is 0.67 eV/atom.

It has space group P4/mbm (No. 127), with a = 6.110 Å, b = 6.110 Å, c = 4.580 Å, α = 90.00°, β = 90.00° and γ = 90.00°. The distinct sites, in fractional coordinates, are Bi at (0.188, 0.312, 0.000), B at (0.100, 0.600, 0.500) and Pt at (0.000, 0.000, 0.500).



Density functional theory data (GGA-PBE) for crystalline SrReSN2 at its relaxed geometry.

The energy relative to the lowest polymorph listed for this composition is 2861 meV/atom.

It has space group P4/mmm (No. 123), with a = 4.243 Å, b = 4.243 Å, c = 5.729 Å, α = 90.00°, β = 90.00° and γ = 90.00°. The distinct sites, in fractional coordinates, are Sr at (0.000, 0.000, 0.000), Re at (0.500, 0.500, 0.500), S at (0.000, 0.000, 0.500) and N at (0.000, 0.500, 0.000).



Density functional theory data (GGA-PBE) for crystalline Al2PW at its relaxed geometry.

Its formation energy is 0.10 eV/atom.

It has space group R-3m (No. 166, hexagonal axes), with a = 2.9548 Å, b = 2.9548 Å, c = 24.2401 Å, α = 90.00°, β = 90.00° and γ = 120.00°. The distinct sites, in fractional coordinates, are Al at (0.0000, 0.0000, 0.2451), P at (0.0000, 0.0000, 0.5000) and W at (0.0000, 0.0000, 0.0000).



Density functional theory data (GGA-PBE) for crystalline PmCd5Au2 at its relaxed geometry.

Its formation energy is -0.33 eV/atom.

It has space group Immm (No. 71), with a = 3.959 Å, b = 8.764 Å, c = 10.618 Å, α = 90.00°, β = 90.00° and γ = 90.00°. The distinct sites, in fractional coordinates, are Pm at (0.000, 0.000, 0.000), Cd at (0.000, 0.196, 0.357), Cd at (0.000, 0.500, 0.000) and Au at (0.000, 0.500, 0.276).



Density functional theory data (GGA-PBE) for crystalline Zr2ScSiC at its relaxed geometry.

It has space group P4/mmm (No. 123), with a = 5.292 Å, b = 5.292 Å, c = 3.578 Å, α = 90.00°, β = 90.00° and γ = 90.00°. The distinct sites, in fractional coordinates, are Zr at (0.000, 0.500, 0.000), Sc at (0.000, 0.000, 0.500), Si at (0.500, 0.500, 0.000) and C at (0.500, 0.500, 0.500).



Density functional theory data (GGA-PBE) for crystalline ScMo2N at its relaxed geometry.

The energy relative to the lowest polymorph listed for this composition is 1554 meV/atom.

It has space group Fm-3m (No. 225), with a = 6.088 Å, b = 6.088 Å, c = 6.088 Å, α = 90.00°, β = 90.00° and γ = 90.00°. The distinct sites, in fractional coordinates, are Sc at (0.000, 0.000, 0.000), Mo at (0.250, 0.250, 0.250) and N at (0.000, 0.000, 0.500).



Computed DFT total energy (eV for the cell shown) in order:
-80.0, -63.3, -121.0, -629.9, -185.3, -117.0, -109.7, -30.3, -87.4, -125.4, -26.3, -59.4, -10.7, -54.4, -47.6, -22.7, -76.4, -37.0, -34.3, -123.6